Entry 1:
## LuCuGeMo (PBE-GGA)

Data for a relaxed LuCuGeMo crystal.

## Properties
Its energy above the most stable polymorph in this dataset is 284 meV per atom. As for the space group: No. 216.

Lattice parameters (Å, degrees): 4.6243 4.6243 4.6243 60.00 60.00 60.00
With the nearest neighbours (Å) after each atom.
Element x y z (fractional)
Cu 0.7500 0.7500 0.7500  4 Ge 2.83, 4 Mo 2.83
Ge 0.0000 0.0000 0.0000  4 Cu 2.83, 4 Lu 2.83
Lu 0.2500 0.2500 0.2500  4 Mo 2.83, 4 Ge 2.83
Mo 0.5000 0.5000 0.5000  4 Cu 2.83, 4 Lu 2.83

Entry 2:
## GdYLu2 (PBE-GGA)

Data for a relaxed GdYLu2 crystal.

## Properties
Its energy above the most stable polymorph in this dataset is 2 meV per atom. The formation energy is 0.005 eV per atom. As for the space group: No. 38.

Lattice parameters (Å, degrees): 5.5798 7.1665 7.1665 59.97 90.00 90.00
With the nearest neighbours (Å) after each atom.
Element x y z (fractional)
Gd 0.0000 0.3331 0.3331  8 Lu 3.48-3.58, 4 Y 3.58-3.59
Gd 0.5000 0.6671 0.6671  8 Lu 3.48-3.59, 4 Y 3.48
Lu 0.5000 0.6684 0.1652  6 Lu 3.46-3.60, 2 Y 3.47, 4 Gd 3.48-3.59
Lu 0.5000 0.1660 0.1660  4 Y 3.47, 4 Gd 3.48-3.58, 4 Lu 3.57-3.60
Lu 0.5000 0.1652 0.6684  6 Lu 3.46-3.60, 2 Y 3.47, 4 Gd 3.48-3.59
Lu 0.0000 0.8340 0.8340  4 Lu 3.46, 4 Gd 3.48-3.58, 4 Y 3.57-3.60
Y 0.0000 0.8344 0.3318  6 Lu 3.47-3.60, 4 Gd 3.48-3.59, 2 Y 3.56-3.60
Y 0.0000 0.3318 0.8344  6 Lu 3.47-3.60, 4 Gd 3.48-3.59, 2 Y 3.56-3.60